No. 1
{
  "formula": "Ba4SiO",
  "functional": "PBE",
  "state": "relaxed",
  "rho_g_cm3": 3.53,
  "e_form_raw_ev_per_atom": -0.87,
  "lattice_angstrom": [[9.582, 0.000, 0.000], [0.000, 7.936, 0.000], [0.000, 0.000, 7.344]],
  "species": ["Ba", "Ba", "Ba", "Ba", "Ba", "Ba", "Ba", "Ba", "Si", "Si", "O", "O"],
  "frac_coords": [[0.000, 0.137, 0.000], [0.000, 0.823, 0.463], [0.214, 0.676, 0.990], [0.286, 0.324, 0.490], [0.500, 0.177, 0.963], [0.500, 0.863, 0.500], [0.714, 0.324, 0.490], [0.786, 0.676, 0.990], [0.000, 0.463, 0.701], [0.500, 0.537, 0.201], [0.000, 0.831, 0.123], [0.500, 0.169, 0.623]]
}


No. 2
{
  "formula": "Ba2SiO",
  "functional": "PBE",
  "state": "relaxed",
  "rho_g_cm3": 4.71,
  "e_form_raw_ev_per_atom": -0.53,
  "lattice_angstrom": [[0.000, 3.829, 3.829], [3.829, 0.000, 3.829], [3.829, 3.829, 0.000]],
  "species": ["Ba", "Ba", "Si", "O"],
  "frac_coords": [[0.250, 0.250, 0.250], [0.750, 0.750, 0.750], [0.000, 0.000, 0.000], [0.500, 0.500, 0.500]]
}


No. 3
{
  "formula": "Ba3SiO",
  "functional": "PBE",
  "state": "relaxed",
  "rho_g_cm3": 4.75,
  "e_form_raw_ev_per_atom": -1.14,
  "lattice_angstrom": [[5.422, 0.000, 0.000], [0.000, 5.422, 0.000], [0.000, 0.000, 5.422]],
  "species": ["Ba", "Ba", "Ba", "Si", "O"],
  "frac_coords": [[0.000, 0.000, 0.500], [0.000, 0.500, 0.000], [0.500, 0.000, 0.000], [0.500, 0.500, 0.500], [0.000, 0.000, 0.000]]
}


No. 4
{
  "formula": "Ba2Si2O5",
  "functional": "PBE",
  "state": "relaxed",
  "rho_g_cm3": 5.05,
  "e_form_raw_ev_per_atom": -2.19,
  "lattice_angstrom": [[5.740, -1.932, 0.000], [5.740, 1.932, 0.000], [-1.605, 0.000, 6.091]],
  "species": ["Ba", "Ba", "Si", "Si", "O", "O", "O", "O", "O"],
  "frac_coords": [[0.096, 0.096, 0.339], [0.904, 0.904, 0.661], [0.344, 0.344, 0.056], [0.656, 0.656, 0.944], [0.182, 0.182, 0.981], [0.383, 0.383, 0.328], [0.500, 0.500, 0.000], [0.617, 0.617, 0.672], [0.818, 0.818, 0.019]]
}


No. 5
{
  "formula": "Ba2SiO4",
  "functional": "PBE",
  "state": "relaxed",
  "rho_g_cm3": 5.23,
  "e_form_raw_ev_per_atom": -2.96,
  "lattice_angstrom": [[7.598, 0.000, 0.000], [0.000, 5.885, 0.000], [0.000, 0.000, 10.411]],
  "species": ["Ba", "Ba", "Ba", "Ba", "Ba", "Ba", "Ba", "Ba", "Si", "Si", "Si", "Si", "O", "O", "O", "O", "O", "O", "O", "O", "O", "O", "O", "O", "O", "O", "O", "O"],
  "frac_coords": [[0.006, 0.250, 0.194], [0.161, 0.750, 0.418], [0.339, 0.250, 0.918], [0.494, 0.750, 0.694], [0.506, 0.250, 0.306], [0.661, 0.750, 0.082], [0.839, 0.250, 0.582], [0.994, 0.750, 0.806], [0.227, 0.750, 0.079], [0.273, 0.250, 0.579], [0.727, 0.750, 0.421], [0.773, 0.250, 0.921], [0.011, 0.750, 0.082], [0.193, 0.250, 0.430], [0.195, 0.019, 0.650], [0.195, 0.481, 0.650], [0.305, 0.519, 0.150], [0.305, 0.981, 0.150], [0.307, 0.750, 0.930], [0.489, 0.250, 0.582], [0.511, 0.750, 0.418], [0.693, 0.250, 0.070], [0.695, 0.019, 0.850], [0.695, 0.481, 0.850], [0.805, 0.519, 0.350], [0.805, 0.981, 0.350], [0.807, 0.750, 0.570], [0.989, 0.250, 0.918]]
}


No. 6
{
  "formula": "Ba4Si2O",
  "functional": "PBE",
  "state": "relaxed",
  "rho_g_cm3": 4.22,
  "e_form_raw_ev_per_atom": -0.82,
  "lattice_angstrom": [[-2.847, 2.847, 7.536], [2.847, -2.847, 7.536], [2.847, 2.847, -7.536]],
  "species": ["Ba", "Ba", "Ba", "Ba", "Si", "Si", "O"],
  "frac_coords": [[0.000, 0.500, 0.500], [0.178, 0.178, 0.000], [0.500, 0.000, 0.500], [0.822, 0.822, 0.000], [0.390, 0.390, 0.000], [0.610, 0.610, 0.000], [0.000, 0.000, 0.000]]
}


No. 7
{
  "formula": "BaSiO",
  "functional": "PBE",
  "state": "relaxed",
  "rho_g_cm3": 4.30,
  "e_form_raw_ev_per_atom": -1.41,
  "lattice_angstrom": [[3.020, -4.639, 0.000], [3.020, 4.639, 0.000], [-0.561, 0.000, 5.000]],
  "species": ["Ba", "Ba", "Si", "Si", "O", "O"],
  "frac_coords": [[0.177, 0.823, 0.500], [0.823, 0.177, 0.000], [0.429, 0.527, 0.932], [0.527, 0.429, 0.432], [0.627, 0.715, 0.663], [0.715, 0.627, 0.163]]
}


No. 8
{
  "formula": "Ba6Si2O",
  "functional": "PBE",
  "state": "relaxed",
  "rho_g_cm3": 4.28,
  "e_form_raw_ev_per_atom": -0.71,
  "lattice_angstrom": [[7.577, 0.000, 0.000], [0.000, 8.283, 0.000], [-7.568, 0.000, 11.071]],
  "species": ["Ba", "Ba", "Ba", "Ba", "Ba", "Ba", "Ba", "Ba", "Ba", "Ba", "Ba", "Ba", "Si", "Si", "Si", "Si", "O", "O"],
  "frac_coords": [[0.121, 0.196, 0.440], [0.121, 0.304, 0.940], [0.240, 0.676, 0.444], [0.240, 0.824, 0.944], [0.348, 0.035, 0.238], [0.348, 0.465, 0.738], [0.652, 0.535, 0.262], [0.652, 0.965, 0.762], [0.760, 0.176, 0.056], [0.760, 0.324, 0.556], [0.879, 0.696, 0.060], [0.879, 0.804, 0.560], [0.220, 0.081, 0.750], [0.220, 0.419, 0.250], [0.780, 0.581, 0.750], [0.780, 0.919, 0.250], [0.000, 0.000, 0.000], [0.000, 0.500, 0.500]]
}


No. 9
{
  "formula": "Ba2SiO",
  "functional": "PBE",
  "state": "relaxed",
  "rho_g_cm3": 4.01,
  "e_form_raw_ev_per_atom": -1.05,
  "lattice_angstrom": [[-3.815, 3.815, 4.533], [3.815, -3.815, 4.533], [3.815, 3.815, -4.533]],
  "species": ["Ba", "Ba", "Ba", "Ba", "Si", "Si", "O", "O"],
  "frac_coords": [[0.040, 0.125, 0.415], [0.375, 0.960, 0.085], [0.710, 0.625, 0.585], [0.875, 0.290, 0.915], [0.250, 0.750, 0.500], [0.500, 0.500, 0.000], [0.000, 0.000, 0.000], [0.750, 0.250, 0.500]]
}


No. 10
{
  "formula": "Ba12Si3O5",
  "functional": "PBE",
  "state": "relaxed",
  "rho_g_cm3": 4.44,
  "e_form_raw_ev_per_atom": -1.31,
  "lattice_angstrom": [[-8.787, 8.787, 8.787], [8.787, -8.787, 8.787], [8.787, 8.787, -8.787]],
  "species": ["Ba", "Ba", "Ba", "Ba", "Ba", "Ba", "Ba", "Ba", "Ba", "Ba", "Ba", "Ba", "Ba", "Ba", "Ba", "Ba", "Ba", "Ba", "Ba", "Ba", "Ba", "Ba", "Ba", "Ba", "Ba", "Ba", "Ba", "Ba", "Ba", "Ba", "Ba", "Ba", "Ba", "Ba", "Ba", "Ba", "Ba", "Ba", "Ba", "Ba", "Ba", "Ba", "Ba", "Ba", "Ba", "Ba", "Ba", "Ba", "Si", "Si", "Si", "Si", "Si", "Si", "Si", "Si", "Si", "Si", "Si", "Si", "O", "O", "O", "O", "O", "O", "O", "O", "O", "O", "O", "O", "O", "O", "O", "O", "O", "O", "O", "O"],
  "frac_coords": [[0.022, 0.204, 0.121], [0.022, 0.318, 0.902], [0.083, 0.704, 0.682], [0.083, 0.879, 0.402], [0.098, 0.621, 0.417], [0.098, 0.978, 0.682], [0.121, 0.022, 0.204], [0.121, 0.598, 0.917], [0.182, 0.204, 0.583], [0.182, 0.478, 0.598], [0.204, 0.121, 0.022], [0.204, 0.583, 0.182], [0.296, 0.318, 0.917], [0.296, 0.478, 0.379], [0.318, 0.902, 0.022], [0.318, 0.917, 0.296], [0.379, 0.296, 0.478], [0.379, 0.583, 0.902], [0.402, 0.083, 0.879], [0.402, 0.818, 0.522], [0.417, 0.098, 0.621], [0.417, 0.818, 0.796], [0.478, 0.379, 0.296], [0.478, 0.598, 0.182], [0.522, 0.402, 0.818], [0.522, 0.621, 0.704], [0.583, 0.182, 0.204], [0.583, 0.902, 0.379], [0.598, 0.182, 0.478], [0.598, 0.917, 0.121], [0.621, 0.417, 0.098], [0.621, 0.704, 0.522], [0.682, 0.083, 0.704], [0.682, 0.098, 0.978], [0.704, 0.522, 0.621], [0.704, 0.682, 0.083], [0.796, 0.417, 0.818], [0.796, 0.879, 0.978], [0.818, 0.522, 0.402], [0.818, 0.796, 0.417], [0.879, 0.402, 0.083], [0.879, 0.978, 0.796], [0.902, 0.022, 0.318], [0.902, 0.379, 0.583], [0.917, 0.121, 0.598], [0.917, 0.296, 0.318], [0.978, 0.682, 0.098], [0.978, 0.796, 0.879], [0.125, 0.250, 0.375], [0.125, 0.375, 0.750], [0.250, 0.375, 0.125], [0.250, 0.875, 0.625], [0.375, 0.125, 0.250], [0.375, 0.750, 0.125], [0.625, 0.250, 0.875], [0.625, 0.875, 0.750], [0.750, 0.125, 0.375], [0.750, 0.625, 0.875], [0.875, 0.625, 0.250], [0.875, 0.750, 0.625], [0.000, 0.000, 0.000], [0.000, 0.000, 0.500], [0.000, 0.500, 0.000], [0.000, 0.500, 0.500], [0.125, 0.750, 0.875], [0.125, 0.875, 0.250], [0.250, 0.125, 0.875], [0.250, 0.625, 0.375], [0.375, 0.250, 0.625], [0.375, 0.625, 0.750], [0.500, 0.000, 0.000], [0.500, 0.000, 0.500], [0.500, 0.500, 0.000], [0.500, 0.500, 0.500], [0.625, 0.375, 0.250], [0.625, 0.750, 0.375], [0.750, 0.375, 0.625], [0.750, 0.875, 0.125], [0.875, 0.125, 0.750], [0.875, 0.250, 0.125]]
}


No. 11
{
  "formula": "Ba3SiO4",
  "functional": "PBE",
  "state": "relaxed",
  "rho_g_cm3": 4.77,
  "e_form_raw_ev_per_atom": -2.38,
  "lattice_angstrom": [[7.762, 0.000, 0.000], [0.000, 7.512, 0.000], [0.000, 0.000, 6.020]],
  "species": ["Ba", "Ba", "Ba", "Ba", "Ba", "Ba", "Si", "Si", "O", "O", "O", "O", "O", "O", "O", "O"],
  "frac_coords": [[0.000, 0.132, 0.000], [0.244, 0.640, 0.005], [0.256, 0.360, 0.505], [0.500, 0.868, 0.500], [0.744, 0.360, 0.505], [0.756, 0.640, 0.005], [0.000, 0.840, 0.480], [0.500, 0.160, 0.980], [0.000, 0.055, 0.551], [0.000, 0.829, 0.202], [0.179, 0.738, 0.570], [0.321, 0.262, 0.070], [0.500, 0.171, 0.702], [0.500, 0.945, 0.051], [0.679, 0.262, 0.070], [0.821, 0.738, 0.570]]
}


No. 12
{
  "formula": "Ba3SiO",
  "functional": "PBE",
  "state": "relaxed",
  "rho_g_cm3": 4.73,
  "e_form_raw_ev_per_atom": -1.19,
  "lattice_angstrom": [[7.822, 0.000, 0.000], [0.000, 10.864, 0.000], [0.000, 0.000, 7.537]],
  "species": ["Ba", "Ba", "Ba", "Ba", "Ba", "Ba", "Ba", "Ba", "Ba", "Ba", "Ba", "Ba", "Si", "Si", "Si", "Si", "O", "O", "O", "O"],
  "frac_coords": [[0.020, 0.250, 0.080], [0.201, 0.042, 0.704], [0.201, 0.458, 0.704], [0.299, 0.542, 0.204], [0.299, 0.958, 0.204], [0.480, 0.750, 0.580], [0.520, 0.250, 0.420], [0.701, 0.042, 0.796], [0.701, 0.458, 0.796], [0.799, 0.542, 0.296], [0.799, 0.958, 0.296], [0.980, 0.750, 0.920], [0.053, 0.750, 0.483], [0.447, 0.250, 0.983], [0.553, 0.750, 0.017], [0.947, 0.250, 0.517], [0.000, 0.000, 0.000], [0.000, 0.500, 0.000], [0.500, 0.000, 0.500], [0.500, 0.500, 0.500]]
}


No. 13
{
  "formula": "Ba3SiO5",
  "functional": "PBE",
  "state": "relaxed",
  "rho_g_cm3": 5.53,
  "e_form_raw_ev_per_atom": -2.85,
  "lattice_angstrom": [[-3.703, 3.703, 5.695], [3.703, -3.703, 5.695], [3.703, 3.703, -5.695]],
  "species": ["Ba", "Ba", "Ba", "Ba", "Ba", "Ba", "Si", "Si", "O", "O", "O", "O", "O", "O", "O", "O", "O", "O"],
  "frac_coords": [[0.183, 0.683, 0.866], [0.250, 0.250, 0.000], [0.317, 0.183, 0.500], [0.683, 0.817, 0.500], [0.750, 0.750, 0.000], [0.817, 0.317, 0.134], [0.250, 0.750, 0.500], [0.750, 0.250, 0.500], [0.000, 0.000, 0.000], [0.036, 0.789, 0.500], [0.211, 0.711, 0.247], [0.289, 0.536, 0.500], [0.464, 0.964, 0.753], [0.500, 0.500, 0.000], [0.536, 0.036, 0.247], [0.711, 0.464, 0.500], [0.789, 0.289, 0.753], [0.964, 0.211, 0.500]]
}


No. 14
{
  "formula": "Ba5Si2O",
  "functional": "PBE",
  "state": "relaxed",
  "rho_g_cm3": 3.74,
  "e_form_raw_ev_per_atom": -0.62,
  "lattice_angstrom": [[3.178, -7.091, 0.000], [3.178, 7.091, 0.000], [0.000, 0.000, 14.963]],
  "species": ["Ba", "Ba", "Ba", "Ba", "Ba", "Ba", "Ba", "Ba", "Ba", "Ba", "Si", "Si", "Si", "Si", "O", "O"],
  "frac_coords": [[0.058, 0.942, 0.623], [0.058, 0.942, 0.877], [0.292, 0.708, 0.250], [0.327, 0.673, 0.604], [0.327, 0.673, 0.896], [0.673, 0.327, 0.104], [0.673, 0.327, 0.396], [0.708, 0.292, 0.750], [0.942, 0.058, 0.123], [0.942, 0.058, 0.377], [0.174, 0.826, 0.065], [0.174, 0.826, 0.435], [0.826, 0.174, 0.565], [0.826, 0.174, 0.935], [0.189, 0.811, 0.750], [0.811, 0.189, 0.250]]
}


No. 15
{
  "formula": "BaSiO2",
  "functional": "PBE",
  "state": "relaxed",
  "rho_g_cm3": 5.52,
  "e_form_raw_ev_per_atom": -1.07,
  "lattice_angstrom": [[1.512, 0.873, 7.504], [-1.512, 0.873, 7.504], [0.000, -1.746, 7.504]],
  "species": ["Ba", "Si", "O", "O"],
  "frac_coords": [[0.000, 0.000, 0.000], [0.500, 0.500, 0.500], [0.129, 0.129, 0.129], [0.871, 0.871, 0.871]]
}


No. 16
{
  "formula": "BaSiO2",
  "functional": "PBE",
  "state": "relaxed",
  "rho_g_cm3": 4.81,
  "e_form_raw_ev_per_atom": -1.49,
  "lattice_angstrom": [[-2.556, 2.556, 5.211], [2.556, -2.556, 5.211], [2.556, 2.556, -5.211]],
  "species": ["Ba", "Ba", "Si", "Si", "O", "O", "O", "O"],
  "frac_coords": [[0.000, 0.000, 0.000], [0.750, 0.250, 0.500], [0.250, 0.750, 0.500], [0.500, 0.500, 0.000], [0.345, 0.625, 0.220], [0.375, 0.595, 0.720], [0.405, 0.125, 0.780], [0.875, 0.655, 0.280]]
}


No. 17
{
  "formula": "Ba5Si2O",
  "functional": "PBE",
  "state": "relaxed",
  "rho_g_cm3": 3.86,
  "e_form_raw_ev_per_atom": -0.75,
  "lattice_angstrom": [[14.197, 0.000, 0.000], [0.000, 5.418, 0.000], [0.000, 0.000, 16.996]],
  "species": ["Ba", "Ba", "Ba", "Ba", "Ba", "Ba", "Ba", "Ba", "Ba", "Ba", "Ba", "Ba", "Ba", "Ba", "Ba", "Ba", "Ba", "Ba", "Ba", "Ba", "Si", "Si", "Si", "Si", "Si", "Si", "Si", "Si", "O", "O", "O", "O"],
  "frac_coords": [[0.002, 0.250, 0.144], [0.013, 0.250, 0.603], [0.212, 0.750, 0.028], [0.226, 0.250, 0.871], [0.249, 0.750, 0.721], [0.251, 0.250, 0.221], [0.274, 0.750, 0.371], [0.288, 0.250, 0.528], [0.487, 0.750, 0.103], [0.498, 0.750, 0.644], [0.502, 0.250, 0.356], [0.513, 0.250, 0.897], [0.712, 0.750, 0.472], [0.726, 0.250, 0.629], [0.749, 0.750, 0.779], [0.751, 0.250, 0.279], [0.774, 0.750, 0.129], [0.788, 0.250, 0.972], [0.987, 0.750, 0.397], [0.998, 0.750, 0.856], [0.106, 0.750, 0.220], [0.156, 0.750, 0.540], [0.344, 0.250, 0.040], [0.394, 0.250, 0.720], [0.606, 0.750, 0.280], [0.656, 0.750, 0.960], [0.844, 0.250, 0.460], [0.894, 0.250, 0.780], [0.176, 0.750, 0.867], [0.324, 0.250, 0.367], [0.676, 0.750, 0.633], [0.824, 0.250, 0.133]]
}